The following is a GGA-PBE calculation of a geometry-optimized LuThIrRh structure, from Alexandria.

Properties
Formation energy from the elements = -3.46 eV/f.u.

```
data_LuThIrRh
_chemical_formula_sum 'Lu4 Th4 Ir4 Rh4'
_space_group_name_H-M_alt 'F -4 3 m'
_space_group_IT_number 216
_space_group_name_Hall 'F -4 2 3'
_cell_length_a 6.970
_cell_length_b 6.970
_cell_length_c 6.970
_cell_angle_alpha 90.00
_cell_angle_beta 90.00
_cell_angle_gamma 90.00
loop_
_atom_site_label
_atom_site_fract_x
_atom_site_fract_y
_atom_site_fract_z
Lu1 0.000 0.000 0.000
Th1 0.000 0.000 0.500
Ir1 0.250 0.250 0.750
Rh1 0.250 0.250 0.250
```